# 1
Below is a geometry-optimized CdBPt3 structure, with properties calculated at the GGA-PBE level.

Magnetization   0.0 μB/f.u.
E above lowest polymorph   3.21 eV/f.u.
Density of states at the Fermi level   11.4 states/eV per cell

Unit cell a=6.5946 b=13.0790 c=5.1758 alpha=90.00 beta=90.00 gamma=90.00
Last column: nearest neighbours and their distance in Å.
Space group Cmcm (No. 63)
Inequivalent atoms, fractional coordinates:
Cd  0.0000  0.1893  0.2500 (multiplicity 4)  1 B 2.44
B  0.0000  0.3759  0.2500 (multiplicity 4)  2 Pt 1.90
Pt  0.0000  0.0000  0.0000 (multiplicity 4)  6 Pt 2.59-2.70, 2 Cd 2.79
Pt  0.2142  0.1451  0.7500 (multiplicity 8)  1 B 1.90

=====

# 2
Below is a geometry-optimized ScTaZn4 structure, with properties calculated at the GGA-PBE level.

Magnetization   2.2 μB/f.u.
Raw total energy   -0.2933 Ry/atom
Density of states at the Fermi level   11.7 states/eV per cell

Unit cell a=7.2675 b=7.2675 c=7.2675 alpha=90.00 beta=90.00 gamma=90.00
Last column: nearest neighbours and their distance in Å.
Space group F-43m (No. 216)
Inequivalent atoms, fractional coordinates:
Sc  0.0000  0.0000  0.0000 (multiplicity 4)  12 Zn 3.01, 4 Ta 3.15
Ta  0.2500  0.2500  0.7500 (multiplicity 4)  12 Zn 3.01, 4 Sc 3.15
Zn  0.1243  0.1243  0.3757 (multiplicity 16)  6 Zn 2.56-2.58

=====

# 3
Below is a geometry-optimized LaRu3 structure, with properties calculated at the GGA-PBE level.

Magnetization   0.0 μB/f.u.
Raw total energy   -0.5685 Ry/atom
Density of states at the Fermi level   5.8 states/eV per cell

Unit cell a=2.8705 b=2.8705 c=9.6659 alpha=90.00 beta=90.00 gamma=120.00
Last column: nearest neighbours and their distance in Å.
Space group P-6m2 (No. 187)
Inequivalent atoms, fractional coordinates:
La  0.0000  0.0000  0.0000 (multiplicity 1)  6 La 2.87
Ru  0.0000  0.0000  0.5000 (multiplicity 1)  12 Ru 2.62-2.87
Ru  0.3333  0.6667  0.2897 (multiplicity 2)  9 Ru 2.62-2.87

=====

# 4
Below is a geometry-optimized MnSbTeI2 structure, with properties calculated at the GGA-PBE level.

Magnetization   6.0 μB/f.u.
E above lowest polymorph   1.09 eV/f.u.
Density of states at the Fermi level   2.8 states/eV per cell

Unit cell a=6.0365 b=6.0365 c=5.8033 alpha=90.00 beta=90.00 gamma=90.00
Last column: nearest neighbours and their distance in Å.
Space group P4/mmm (No. 123)
Inequivalent atoms, fractional coordinates:
Mn  0.0000  0.0000  0.0000 (multiplicity 1)  8 I 4.19, 4 Te 4.27
Sb  0.5000  0.5000  0.5000 (multiplicity 1)  2 Te 2.90, 4 I 3.02
Te  0.5000  0.5000  0.0000 (multiplicity 1)  2 Sb 2.90
I  0.0000  0.5000  0.5000 (multiplicity 2)  2 Sb 3.02

=====

# 5
Below is a geometry-optimized Cr2Ag structure, with properties calculated at the GGA-PBE level.

Magnetization   0.2 μB/f.u.
Raw total energy   -0.5011 Ry/atom
Density of states at the Fermi level   7.8 states/eV per cell

Unit cell a=9.9303 b=3.0177 c=6.6846 alpha=90.00 beta=109.71 gamma=90.00
Last column: nearest neighbours and their distance in Å.
Space group Cm (No. 8)
Inequivalent atoms, fractional coordinates:
Cr  0.0000  0.0000  0.0000 (multiplicity 2)  3 Cr 2.59-2.80, 4 Ag 2.79-2.84
Cr  0.0155  0.0000  0.4266 (multiplicity 2)  2 Cr 2.48, 4 Ag 2.73-2.78
Cr  0.2067  0.5000  0.3985 (multiplicity 2)  4 Cr 2.48-2.50, 2 Ag 2.76
Cr  0.3592  0.0000  0.6833 (multiplicity 2)  4 Cr 2.50-2.59, 1 Ag 2.76
Ag  0.1522  0.5000  0.7864 (multiplicity 2)  8 Cr 2.76-2.84, 4 Ag 2.79-3.02
Ag  0.3116  0.0000  0.1375 (multiplicity 2)  7 Cr 2.73-2.92, 4 Ag 2.79-3.02

=====

# 6
Below is a geometry-optimized Pa2VSn structure, with properties calculated at the GGA-PBE level.

Magnetization   1.7 μB/f.u.
E above lowest polymorph   0.00 eV/f.u.
Density of states at the Fermi level   5.1 states/eV per cell

Unit cell a=4.3431 b=4.3431 c=4.6726 alpha=90.00 beta=90.00 gamma=90.00
Last column: nearest neighbours and their distance in Å.
Space group P4/mmm (No. 123)
Inequivalent atoms, fractional coordinates:
Pa  0.0000  0.5000  0.0000 (multiplicity 2)  4 Pa 3.07, 4 Sn 3.19, 4 V 3.19
V  0.0000  0.0000  0.5000 (multiplicity 1)  4 Sn 3.07, 8 Pa 3.19
Sn  0.5000  0.5000  0.5000 (multiplicity 1)  4 V 3.07, 8 Pa 3.19

=====

# 7
Below is a geometry-optimized PmSbCl6 structure, with properties calculated at the GGA-PBE level.

Magnetization   0.0 μB/f.u.
E above lowest polymorph   0.00 eV/f.u.
Density of states at the Fermi level   0.0 states/eV per cell

Unit cell a=6.7527 b=12.5924 c=6.7469 alpha=90.00 beta=106.04 gamma=90.00
Last column: nearest neighbours and their distance in Å.
Space group C2/m (No. 12)
Inequivalent atoms, fractional coordinates:
Pm  0.0000  0.0000  0.0000 (multiplicity 2)  6 Cl 2.72-2.75
Sb  0.0000  0.5000  0.5000 (multiplicity 2)  6 Cl 2.67-2.68
Cl  0.2433  0.3570  0.7460 (multiplicity 8)  1 Sb 2.68, 1 Pm 2.75
Cl  0.2493  0.5000  0.2542 (multiplicity 4)  1 Sb 2.67, 1 Pm 2.72

=====

# 8
Below is a geometry-optimized Sc2TiHIr structure, with properties calculated at the GGA-PBE level.

Magnetization   1.8 μB/f.u.
Raw total energy   -0.5149 Ry/atom
Density of states at the Fermi level   4.8 states/eV per cell

Unit cell a=4.5142 b=4.5142 c=3.6680 alpha=90.00 beta=90.00 gamma=90.00
Last column: nearest neighbours and their distance in Å.
Space group P4/mmm (No. 123)
Inequivalent atoms, fractional coordinates:
Sc  0.0000  0.5000  0.0000 (multiplicity 2)  2 H 2.26
Ti  0.0000  0.0000  0.5000 (multiplicity 1)  2 H 1.83
H  0.0000  0.0000  0.0000 (multiplicity 1)  2 Ti 1.83
Ir  0.5000  0.5000  0.5000 (multiplicity 1)  8 Sc 2.91, 4 Ti 3.19